No. 1
# NbAlAs

NbAlAs after structural relaxation (PBE-GGA, the Alexandria database).

```
data_NbAlAs
_space_group_name_H-M_alt 'A m m 2'
_space_group_IT_number 38
_cell_length_a 3.780
_cell_length_b 3.690
_cell_length_c 14.349
_cell_angle_alpha 90.00
_cell_angle_beta 90.00
_cell_angle_gamma 90.00
loop_
_space_group_symop_operation_xyz
'x,y,z'
'-x,-y,z'
'-x,y,z'
'x,-y,z'
'x,y+1/2,z+1/2'
'-x,-y+1/2,z+1/2'
'-x,y+1/2,z+1/2'
'x,-y+1/2,z+1/2'
loop_
_atom_site_label
_atom_site_type_symbol
_atom_site_fract_x
_atom_site_fract_y
_atom_site_fract_z
Nb1 Nb 0.000 0.000 0.000
Nb2 Nb 0.500 0.000 0.209
Al1 Al 0.500 0.000 0.531
Al2 Al 0.500 0.000 0.857
As1 As 0.000 0.000 0.354
As2 As 0.000 0.000 0.657
```

Results
formation energy: -0.348 eV per atom
D(E_F): 0.42 states/eV/atom


No. 2
# Dy3Tm4Ru4

Dy3Tm4Ru4 after structural relaxation (PBE-GGA, the Alexandria database).

```
data_Dy3Tm4Ru4
_space_group_name_H-M_alt 'I m m m'
_space_group_IT_number 71
_space_group_name_Hall '-I 2 2'
_cell_length_a 3.517
_cell_length_b 8.821
_cell_length_c 16.080
_cell_angle_alpha 90.00
_cell_angle_beta 90.00
_cell_angle_gamma 90.00
loop_
_atom_site_label
_atom_site_type_symbol
_atom_site_fract_x
_atom_site_fract_y
_atom_site_fract_z
Dy1 Dy 0.000 0.000 0.000
Dy2 Dy 0.000 0.500 0.098
Tm1 Tm 0.000 0.309 0.335
Ru1 Ru 0.000 0.000 0.256
Ru2 Ru 0.000 0.225 0.500
```

Results
formation energy: -0.360 eV per atom
D(E_F): 0.41 states/eV/atom


No. 3
# BeHgHPd2

BeHgHPd2 after structural relaxation (PBE-GGA, the Alexandria database).

```
data_BeHgHPd2
_space_group_name_H-M_alt 'P 4/m m m'
_space_group_IT_number 123
_space_group_name_Hall '-P 4 2'
_cell_length_a 4.017
_cell_length_b 4.017
_cell_length_c 3.927
_cell_angle_alpha 90.00
_cell_angle_beta 90.00
_cell_angle_gamma 90.00
loop_
_atom_site_label
_atom_site_type_symbol
_atom_site_fract_x
_atom_site_fract_y
_atom_site_fract_z
Be1 Be 0.000 0.000 0.000
Hg1 Hg 0.500 0.500 0.000
H1 H 0.000 0.000 0.500
Pd1 Pd 0.000 0.500 0.500
```

Results
DFT total energy: -3.5789 eV per atom
D(E_F): 0.25 states/eV/atom